No. 1
Compound: ZnCdAg
Source: Alexandria
Functional: PBE-GGA
Structure: relaxed

E_tot   -9.6 eV for the cell shown
Energy above the lowest structure with this stoichiometry   0.28 eV/f.u.
Formation enthalpy at 0 K   0.0810 eV per atom

a b c (Å): 4.416 4.421 7.545
angles (deg): 73.02 89.65 60.48
Space group P1 (No. 1)
Symmetry-distinct sites (fractional):
Zn: 0.000 0.000 0.000 (multiplicity 1)
Zn: 0.258 0.476 0.779 (multiplicity 1)
Cd: 0.131 0.734 0.398 (multiplicity 1)
Cd: 0.397 0.211 0.186 (multiplicity 1)
Ag: 0.621 0.752 0.868 (multiplicity 1)
Ag: 0.869 0.253 0.613 (multiplicity 1)

***

No. 2
Compound: ZnCdAg2
Source: Alexandria
Functional: PBE-GGA
Structure: relaxed

E_tot   -24.1 eV for the cell shown
Formation enthalpy at 0 K   -0.0342 eV per atom

a b c (Å): 2.9514 2.9514 28.4959
angles (deg): 90.00 90.00 120.00
Space group R-3m (No. 166, hexagonal axes)
Symmetry-distinct sites (fractional):
Zn: 0.0000 0.0000 0.0000 (multiplicity 3)
Cd: 0.0000 0.0000 0.5000 (multiplicity 3)
Ag: 0.0000 0.0000 0.2553 (multiplicity 6)

***

No. 3
Compound: Zn8Cd3Ag
Source: Alexandria
Functional: PBE-GGA
Structure: relaxed

E_tot   -46.1 eV for the cell shown
Formation enthalpy at 0 K   0.0354 eV per atom

a b c (Å): 5.1963 5.1963 25.9466
angles (deg): 90.00 90.00 120.00
Space group R3m (No. 160, hexagonal axes)
Symmetry-distinct sites (fractional):
Zn: 0.0000 0.0000 0.0000 (multiplicity 3)
Zn: 0.0000 0.0000 0.5001 (multiplicity 3)
Zn: 0.9999 0.5000 0.2491 (multiplicity 9)
Zn: 0.0007 0.5003 0.7506 (multiplicity 9)
Cd: 0.0000 0.0000 0.3086 (multiplicity 3)
Cd: 0.0000 0.0000 0.6882 (multiplicity 3)
Cd: 0.0000 0.0000 0.8153 (multiplicity 3)
Ag: 0.0000 0.0000 0.1845 (multiplicity 3)

***

No. 4
Compound: ZnCd3Ag
Source: Alexandria
Functional: PBE-GGA
Structure: relaxed

E_tot   -25.2 eV for the cell shown
Energy above the lowest structure with this stoichiometry   0.44 eV/f.u.
Formation enthalpy at 0 K   0.1117 eV per atom

a b c (Å): 10.521 8.079 6.940
angles (deg): 90.00 130.57 90.00
Space group C2/m (No. 12)
Symmetry-distinct sites (fractional):
Zn: 0.250 0.000 0.122 (multiplicity 4)
Cd: 0.069 0.500 0.314 (multiplicity 4)
Cd: 0.193 0.186 0.725 (multiplicity 8)
Ag: 0.074 0.000 0.270 (multiplicity 4)

***

No. 5
Compound: Zn4CdAg2
Source: Alexandria
Functional: PBE-GGA
Structure: relaxed

E_tot   -23.3 eV for the cell shown
Energy above the lowest structure with this stoichiometry   0.00 eV/f.u.
Formation enthalpy at 0 K   0.0078 eV per atom

a b c (Å): 5.870 6.685 7.434
angles (deg): 114.55 113.02 91.10
Space group P1 (No. 1)
Symmetry-distinct sites (fractional):
Zn: 0.000 0.000 0.000 (multiplicity 1)
Zn: 0.033 0.439 0.077 (multiplicity 1)
Zn: 0.276 0.729 0.539 (multiplicity 1)
Zn: 0.508 0.999 0.998 (multiplicity 1)
Zn: 0.551 0.440 0.079 (multiplicity 1)
Zn: 0.614 0.133 0.720 (multiplicity 1)
Zn: 0.769 0.728 0.539 (multiplicity 1)
Zn: 0.895 0.858 0.277 (multiplicity 1)
Cd: 0.152 0.580 0.803 (multiplicity 1)
Cd: 0.444 0.308 0.378 (multiplicity 1)
Ag: 0.114 0.120 0.721 (multiplicity 1)
Ag: 0.391 0.843 0.268 (multiplicity 1)
Ag: 0.668 0.603 0.834 (multiplicity 1)
Ag: 0.930 0.305 0.348 (multiplicity 1)

***

No. 6
Compound: ZnCd3Ag6
Source: Alexandria
Functional: PBE-GGA
Structure: relaxed

E_tot   -40.9 eV for the cell shown
Energy above the lowest structure with this stoichiometry   1.09 eV/f.u.
Formation enthalpy at 0 K   0.0694 eV per atom

a b c (Å): 9.919 5.552 7.591
angles (deg): 90.00 109.33 90.00
Space group C2/m (No. 12)
Symmetry-distinct sites (fractional):
Zn: 0.000 0.000 0.000 (multiplicity 2)
Cd: 0.000 0.500 0.500 (multiplicity 2)
Cd: 0.114 0.500 0.194 (multiplicity 4)
Ag: 0.146 0.249 0.819 (multiplicity 8)
Ag: 0.168 0.000 0.398 (multiplicity 4)

***

No. 7
Compound: ZnCdAg
Source: Alexandria
Functional: PBE-GGA
Structure: relaxed

E_tot   -19.8 eV for the cell shown
Energy above the lowest structure with this stoichiometry   0.13 eV/f.u.
Formation enthalpy at 0 K   0.0281 eV per atom

a b c (Å): 3.410 4.782 13.478
angles (deg): 90.00 90.00 90.00
Space group Fmm2 (No. 42)
Symmetry-distinct sites (fractional):
Zn: 0.000 0.000 0.000 (multiplicity 4)
Cd: 0.000 0.000 0.668 (multiplicity 4)
Ag: 0.000 0.000 0.345 (multiplicity 4)

***

No. 8
Compound: ZnCd3Ag5
Source: Alexandria
Functional: PBE-GGA
Structure: relaxed

E_tot   -36.8 eV for the cell shown
Formation enthalpy at 0 K   -0.0142 eV per atom

a b c (Å): 8.2717 8.2717 5.7000
angles (deg): 90.00 90.00 120.00
Space group P6_3/mcm (No. 193)
Symmetry-distinct sites (fractional):
Zn: 0.0000 0.0000 0.0000 (multiplicity 2)
Cd: 0.0000 0.3779 0.2500 (multiplicity 6)
Ag: 0.0000 0.2831 0.7500 (multiplicity 6)
Ag: 0.3333 0.6667 0.0000 (multiplicity 4)

***

No. 9
Compound: ZnCd2Ag9
Source: Alexandria
Functional: PBE-GGA
Structure: relaxed

E_tot   -29.0 eV for the cell shown
Formation enthalpy at 0 K   -0.0207 eV per atom

a b c (Å): 4.273 4.273 11.877
angles (deg): 90.00 90.00 90.00
Space group P4/mmm (No. 123)
Symmetry-distinct sites (fractional):
Zn: 0.000 0.000 0.000 (multiplicity 1)
Cd: 0.000 0.000 0.329 (multiplicity 2)
Ag: 0.000 0.500 0.158 (multiplicity 4)
Ag: 0.000 0.500 0.500 (multiplicity 2)
Ag: 0.500 0.500 0.000 (multiplicity 1)
Ag: 0.500 0.500 0.328 (multiplicity 2)

***

No. 10
Compound: ZnCd3Ag
Source: Alexandria
Functional: PBE-GGA
Structure: relaxed

E_tot   -5.0 eV for the cell shown
Energy above the lowest structure with this stoichiometry   1.73 eV/f.u.
Formation enthalpy at 0 K   0.3697 eV per atom

a b c (Å): 5.037 5.037 5.037
angles (deg): 90.00 90.00 90.00
Space group Pm-3m (No. 221)
Symmetry-distinct sites (fractional):
Zn: 0.000 0.000 0.000 (multiplicity 1)
Cd: 0.000 0.000 0.500 (multiplicity 3)
Ag: 0.500 0.500 0.500 (multiplicity 1)

***

No. 11
Compound: ZnCd3Ag6
Source: Alexandria
Functional: PBE-GGA
Structure: relaxed

E_tot   -43.0 eV for the cell shown
Energy above the lowest structure with this stoichiometry   0.00 eV/f.u.
Formation enthalpy at 0 K   -0.0392 eV per atom

a b c (Å): 9.147 4.293 9.403
angles (deg): 90.00 92.68 90.00
Space group P2_1/m (No. 11)
Symmetry-distinct sites (fractional):
Zn: 0.052 0.250 0.393 (multiplicity 2)
Cd: 0.244 0.250 0.999 (multiplicity 2)
Cd: 0.348 0.750 0.796 (multiplicity 2)
Cd: 0.452 0.250 0.600 (multiplicity 2)
Ag: 0.049 0.750 0.892 (multiplicity 2)
Ag: 0.137 0.250 0.684 (multiplicity 2)
Ag: 0.147 0.750 0.197 (multiplicity 2)
Ag: 0.231 0.750 0.495 (multiplicity 2)
Ag: 0.340 0.250 0.302 (multiplicity 2)
Ag: 0.448 0.750 0.100 (multiplicity 2)

***

No. 12
Compound: ZnCd6Ag10
Source: Alexandria
Functional: PBE-GGA
Structure: relaxed

E_tot   -35.0 eV for the cell shown
Formation enthalpy at 0 K   0.0142 eV per atom

a b c (Å): 8.1084 8.1084 5.8169
angles (deg): 90.00 90.00 120.00
Space group P-31m (No. 162)
Symmetry-distinct sites (fractional):
Zn: 0.0000 0.0000 0.0000 (multiplicity 1)
Cd: 0.0000 0.3403 0.8360 (multiplicity 6)
Ag: 0.0000 0.3105 0.3464 (multiplicity 6)
Ag: 0.3333 0.6667 0.0000 (multiplicity 2)
Ag: 0.3333 0.6667 0.5000 (multiplicity 2)

***

No. 13
Compound: ZnCdAg2
Source: Alexandria
Functional: PBE-GGA
Structure: relaxed

E_tot   -16.0 eV for the cell shown
Formation enthalpy at 0 K   -0.0257 eV per atom

a b c (Å): 4.043 4.086 8.669
angles (deg): 90.00 90.00 90.00
Space group Imm2 (No. 44)
Symmetry-distinct sites (fractional):
Zn: 0.000 0.000 0.000 (multiplicity 2)
Cd: 0.000 0.500 0.250 (multiplicity 2)
Ag: 0.000 0.000 0.499 (multiplicity 2)
Ag: 0.000 0.500 0.748 (multiplicity 2)

***

No. 14
Compound: Zn2Cd2Ag7
Source: Alexandria
Functional: PBE-GGA
Structure: relaxed

E_tot   -48.2 eV for the cell shown
Energy above the lowest structure with this stoichiometry   0.00 eV/f.u.
Formation enthalpy at 0 K   0.0197 eV per atom

a b c (Å): 4.566 12.632 6.993
angles (deg): 90.00 90.00 90.00
Space group Imm2 (No. 44)
Symmetry-distinct sites (fractional):
Zn: 0.000 0.000 0.000 (multiplicity 2)
Zn: 0.000 0.500 0.208 (multiplicity 2)
Cd: 0.000 0.293 0.992 (multiplicity 4)
Ag: 0.000 0.125 0.697 (multiplicity 4)
Ag: 0.000 0.137 0.283 (multiplicity 4)
Ag: 0.000 0.349 0.492 (multiplicity 4)
Ag: 0.000 0.500 0.805 (multiplicity 2)

***

No. 15
Compound: ZnCdAg
Source: Alexandria
Functional: PBE-GGA
Structure: relaxed

E_tot   -5.0 eV for the cell shown
Energy above the lowest structure with this stoichiometry   0.08 eV/f.u.
Formation enthalpy at 0 K   0.0124 eV per atom

a b c (Å): 4.6439 4.6439 2.9185
angles (deg): 90.00 90.00 120.00
Space group P3m1 (No. 156)
Symmetry-distinct sites (fractional):
Zn: 0.0000 0.0000 0.0000 (multiplicity 1)
Cd: 0.6667 0.3333 0.5935 (multiplicity 1)
Ag: 0.3333 0.6667 0.1265 (multiplicity 1)

***

No. 16
Compound: ZnCdAg2
Source: Alexandria
Functional: PBE-GGA
Structure: relaxed

E_tot   -15.7 eV for the cell shown
Formation enthalpy at 0 K   0.0074 eV per atom

a b c (Å): 5.672 9.171 2.921
angles (deg): 90.00 108.54 90.00
Space group C2/m (No. 12)
Symmetry-distinct sites (fractional):
Zn: 0.000 0.000 0.000 (multiplicity 2)
Cd: 0.000 0.500 0.000 (multiplicity 2)
Ag: 0.250 0.250 0.500 (multiplicity 4)

***

No. 17
Compound: Zn4CdAg2
Source: Alexandria
Functional: PBE-GGA
Structure: relaxed

E_tot   -23.0 eV for the cell shown
Energy above the lowest structure with this stoichiometry   0.14 eV/f.u.
Formation enthalpy at 0 K   0.0272 eV per atom

a b c (Å): 7.410 7.410 4.463
angles (deg): 90.00 90.00 90.00
Space group P4_2/mnm (No. 136)
Symmetry-distinct sites (fractional):
Zn: 0.116 0.374 0.000 (multiplicity 8)
Cd: 0.000 0.000 0.000 (multiplicity 2)
Ag: 0.185 0.185 0.500 (multiplicity 4)

***

No. 18
Compound: ZnCdAg4
Source: Alexandria
Functional: PBE-GGA
Structure: relaxed

E_tot   -51.0 eV for the cell shown
Energy above the lowest structure with this stoichiometry   0.97 eV/f.u.
Formation enthalpy at 0 K   0.1392 eV per atom

a b c (Å): 7.803 7.803 7.803
angles (deg): 90.00 90.00 90.00
Space group F-43m (No. 216)
Symmetry-distinct sites (fractional):
Zn: 0.000 0.000 0.000 (multiplicity 4)
Cd: 0.250 0.250 0.250 (multiplicity 4)
Ag: 0.125 0.125 0.625 (multiplicity 16)

***

No. 19
Compound: Zn12CdAg7
Source: Alexandria
Functional: PBE-GGA
Structure: relaxed

E_tot   -60.2 eV for the cell shown
Formation enthalpy at 0 K   0.3026 eV per atom

a b c (Å): 9.566 9.566 9.566
angles (deg): 90.00 90.00 90.00
Space group Im-3 (No. 204)
Symmetry-distinct sites (fractional):
Zn: 0.000 0.144 0.267 (multiplicity 24)
Cd: 0.000 0.000 0.000 (multiplicity 2)
Ag: 0.000 0.000 0.500 (multiplicity 6)
Ag: 0.250 0.250 0.250 (multiplicity 8)

***

No. 20
Compound: Zn2Cd3Ag3
Source: Alexandria
Functional: PBE-GGA
Structure: relaxed

E_tot   -13.9 eV for the cell shown
Energy above the lowest structure with this stoichiometry   0.28 eV/f.u.
Formation enthalpy at 0 K   -0.0019 eV per atom

a b c (Å): 3.599 4.535 9.403
angles (deg): 101.83 100.66 90.10
Space group P-1 (No. 2)
Symmetry-distinct sites (fractional):
Zn: 0.248 0.247 0.498 (multiplicity 2)
Cd: 0.000 0.000 0.000 (multiplicity 1)
Cd: 0.128 0.610 0.257 (multiplicity 2)
Ag: 0.365 0.886 0.731 (multiplicity 2)
Ag: 0.500 0.500 0.000 (multiplicity 1)

***

No. 21
Compound: ZnCd2Ag4
Source: Alexandria
Functional: PBE-GGA
Structure: relaxed

E_tot   -24.3 eV for the cell shown
Energy above the lowest structure with this stoichiometry   2.39 eV/f.u.
Formation enthalpy at 0 K   0.3398 eV per atom

a b c (Å): 4.889 4.889 13.862
angles (deg): 90.00 90.00 90.00
Space group I4/mmm (No. 139)
Symmetry-distinct sites (fractional):
Zn: 0.000 0.000 0.000 (multiplicity 2)
Cd: 0.000 0.000 0.380 (multiplicity 4)
Ag: 0.000 0.000 0.184 (multiplicity 4)
Ag: 0.000 0.500 0.000 (multiplicity 4)

***

No. 22
Compound: Zn3CdAg3
Source: Alexandria
Functional: PBE-GGA
Structure: relaxed

E_tot   -27.1 eV for the cell shown
Energy above the lowest structure with this stoichiometry   0.00 eV/f.u.
Formation enthalpy at 0 K   -0.0350 eV per atom

a b c (Å): 7.5884 7.5884 4.7860
angles (deg): 90.00 90.00 120.00
Space group P6_3/m (No. 176)
Symmetry-distinct sites (fractional):
Zn: 0.0401 0.8161 0.2500 (multiplicity 6)
Cd: 0.3333 0.6667 0.2500 (multiplicity 2)
Ag: 0.0921 0.6362 0.7500 (multiplicity 6)